LaPr3O6 after structural relaxation. Source: the Alexandria database, functional PBE. Values from VASP.

Cell and atoms, written as Quantum ESPRESSO input:
```
&SYSTEM
  ibrav = 0, nat = 20, ntyp = 3
/
ATOMIC_SPECIES
O 16.00 O.upf
Pr 140.91 Pr.upf
La 138.91 La.upf
CELL_PARAMETERS angstrom
7.135 -0.013 -0.013
-0.167 7.133 -0.013
-0.167 -0.171 7.131
ATOMIC_POSITIONS crystal
O 0.068 0.317 0.900
O 0.395 0.181 0.525
O 0.525 0.395 0.181
O 0.819 0.475 0.605
O 0.317 0.900 0.068
O 0.932 0.683 0.100
O 0.475 0.605 0.819
O 0.683 0.100 0.932
O 0.100 0.932 0.683
O 0.605 0.819 0.475
O 0.900 0.068 0.317
O 0.181 0.525 0.395
Pr 0.447 0.940 0.749
Pr 0.251 0.553 0.060
Pr 0.749 0.447 0.940
Pr 0.940 0.749 0.447
Pr 0.553 0.060 0.251
Pr 0.060 0.251 0.553
La 0.500 0.500 0.500
La 0.000 0.000 0.000
```

The density comes out at 6.0 g/cm³. The value obtained for the volume is 362.9 Å³/cell. As for the crystal system: trigonal. Its magnetization is 0.00 μB/cell. As for the final energy: -8.23 eV/atom.

La2PrO4 after structural relaxation. Source: the Alexandria database, functional PBE. Values from VASP.

Cell and atoms, written as Quantum ESPRESSO input:
```
&SYSTEM
  ibrav = 0, nat = 14, ntyp = 3
/
ATOMIC_SPECIES
O 16.00 O.upf
La 138.91 La.upf
Pr 140.91 Pr.upf
CELL_PARAMETERS angstrom
-6.204 -0.424 -2.101
0.589 -3.841 5.289
1.699 6.093 1.752
ATOMIC_POSITIONS crystal
O 0.759 0.243 0.871
O 0.122 0.388 0.379
O 0.129 0.888 0.372
O 0.266 0.257 0.878
O 0.991 0.612 0.734
O 0.628 0.757 0.516
O 0.484 0.112 0.241
O 0.621 0.743 0.009
La 0.525 0.400 0.625
La 0.875 0.100 0.475
La 0.225 0.600 0.125
La 0.375 0.900 0.775
Pr 0.000 0.000 0.000
Pr 0.750 0.500 0.250
```

The density comes out at 7.4 g/cm³. The value obtained for the volume is 217.1 Å³/cell. As for the crystal system: tetragonal. Its magnetization is 1.26 μB/cell. As for the final energy: -7.98 eV/atom.

LaPr3O after structural relaxation. Source: the Alexandria database, functional PBE. Values from VASP.

Cell and atoms, written as Quantum ESPRESSO input:
```
&SYSTEM
  ibrav = 0, nat = 5, ntyp = 3
/
ATOMIC_SPECIES
Pr 140.91 Pr.upf
La 138.91 La.upf
O 16.00 O.upf
CELL_PARAMETERS angstrom
-0.702 -0.688 -5.085
1.858 -4.818 0.396
-4.783 -1.771 0.900
ATOMIC_POSITIONS crystal
Pr 0.000 0.000 0.500
Pr 0.000 0.500 0.000
Pr 0.500 0.000 0.000
La 0.500 0.500 0.500
O 0.000 0.000 0.000
```

The density comes out at 6.9 g/cm³. The value obtained for the volume is 138.9 Å³/cell. As for the crystal system: cubic. Its magnetization is 0.00 μB/cell. As for the final energy: -5.90 eV/atom.

La2Pr2O7 after structural relaxation. Source: the Alexandria database, functional PBE. Values from VASP.

Cell and atoms, written as Quantum ESPRESSO input:
```
&SYSTEM
  ibrav = 0, nat = 22, ntyp = 3
/
ATOMIC_SPECIES
O 16.00 O.upf
Pr 140.91 Pr.upf
La 138.91 La.upf
CELL_PARAMETERS angstrom
0.000 5.727 5.727
5.727 0.000 5.727
5.727 5.727 0.000
ATOMIC_POSITIONS crystal
O 0.020 0.020 0.480
O 0.020 0.480 0.020
O 0.020 0.480 0.480
O 0.230 0.230 0.770
O 0.770 0.770 0.230
O 0.480 0.480 0.020
O 0.500 0.500 0.500
O 0.770 0.230 0.230
O 0.230 0.770 0.230
O 0.750 0.750 0.750
O 0.480 0.020 0.020
O 0.230 0.770 0.770
O 0.770 0.230 0.770
O 0.480 0.020 0.480
Pr 0.625 0.125 0.125
Pr 0.125 0.125 0.125
Pr 0.125 0.625 0.125
Pr 0.125 0.125 0.625
La 0.625 0.125 0.625
La 0.125 0.625 0.625
La 0.625 0.625 0.625
La 0.625 0.625 0.125
```

The density comes out at 5.9 g/cm³. The value obtained for the volume is 375.7 Å³/cell. As for the crystal system: cubic. Its magnetization is 4.12 μB/cell. As for the final energy: -7.81 eV/atom.

LaPr2PtO5 after structural relaxation. Source: the Alexandria database, functional PBE. Values from VASP.

Cell and atoms, written as Quantum ESPRESSO input:
```
&SYSTEM
  ibrav = 0, nat = 18, ntyp = 4
/
ATOMIC_SPECIES
Pr 140.91 Pr.upf
O 16.00 O.upf
Pt 195.08 Pt.upf
La 138.91 La.upf
CELL_PARAMETERS angstrom
-4.937 -3.176 -0.529
3.580 -5.119 -2.683
0.986 -2.568 6.217
ATOMIC_POSITIONS crystal
Pr 0.500 0.668 0.168
Pr 0.500 0.168 0.332
Pr 0.500 0.832 0.668
Pr 0.500 0.332 0.832
O 0.248 0.647 0.853
O 0.248 0.853 0.353
O 0.248 0.353 0.147
O 0.248 0.147 0.647
O 0.500 0.500 0.500
O 0.752 0.353 0.147
O 0.752 0.853 0.353
O 0.752 0.647 0.853
O 0.752 0.147 0.647
O 0.500 0.000 0.000
Pt 0.000 0.000 0.500
Pt 0.000 0.500 0.000
La 0.000 0.000 0.000
La 0.000 0.500 0.500
```

The density comes out at 8.5 g/cm³. The value obtained for the volume is 272.4 Å³/cell. As for the crystal system: tetragonal. Its magnetization is 0.01 μB/cell. As for the final energy: -7.49 eV/atom.

La2PrPuO8 after structural relaxation. Source: the Alexandria database, functional PBE. Values from VASP.

Cell and atoms, written as Quantum ESPRESSO input:
```
&SYSTEM
  ibrav = 0, nat = 12, ntyp = 4
/
ATOMIC_SPECIES
O 16.00 O.upf
Pu 244.00 Pu.upf
La 138.91 La.upf
Pr 140.91 Pr.upf
CELL_PARAMETERS angstrom
-0.541 4.021 -0.887
-1.714 0.317 5.375
7.174 1.451 2.201
ATOMIC_POSITIONS crystal
O 0.051 0.772 0.786
O 0.586 0.793 0.000
O 0.414 0.207 0.000
O 0.949 0.228 0.214
O 0.949 0.228 0.786
O 0.498 0.255 0.500
O 0.502 0.745 0.500
O 0.051 0.772 0.214
Pu 0.000 0.000 0.000
La 0.500 0.500 0.746
La 0.500 0.500 0.254
Pr 0.000 0.000 0.500
```

The density comes out at 7.4 g/cm³. The value obtained for the volume is 178.3 Å³/cell. As for the crystal system: monoclinic. Its magnetization is 1.00 μB/cell. As for the final energy: -8.75 eV/atom.

LaPrPu2O8 after structural relaxation. Source: the Alexandria database, functional PBE. Values from VASP.

Cell and atoms, written as Quantum ESPRESSO input:
```
&SYSTEM
  ibrav = 0, nat = 12, ntyp = 4
/
ATOMIC_SPECIES
Pu 244.00 Pu.upf
O 16.00 O.upf
Pr 140.91 Pr.upf
La 138.91 La.upf
CELL_PARAMETERS angstrom
6.508 0.329 0.000
-2.591 5.979 0.000
-1.958 -3.154 5.355
ATOMIC_POSITIONS crystal
Pu 0.500 0.500 0.000
Pu 0.750 0.250 0.500
O 0.518 0.699 0.819
O 0.728 0.049 0.679
O 0.951 0.272 0.321
O 0.951 0.630 0.679
O 0.880 0.699 0.181
O 0.301 0.120 0.819
O 0.370 0.049 0.321
O 0.301 0.482 0.181
Pr 0.250 0.750 0.500
La 0.000 0.000 0.000
```

The density comes out at 7.0 g/cm³. The value obtained for the volume is 212.9 Å³/cell. As for the crystal system: tetragonal. Its magnetization is 6.00 μB/cell. As for the final energy: -9.30 eV/atom.

La2PrRuO8 after structural relaxation. Source: the Alexandria database, functional PBE. Values from VASP.

Cell and atoms, written as Quantum ESPRESSO input:
```
&SYSTEM
  ibrav = 0, nat = 12, ntyp = 4
/
ATOMIC_SPECIES
Ru 101.07 Ru.upf
Pr 140.91 Pr.upf
O 16.00 O.upf
La 138.91 La.upf
CELL_PARAMETERS angstrom
-4.230 -0.174 2.070
-1.707 -3.061 -4.160
1.772 -6.070 3.351
ATOMIC_POSITIONS crystal
Ru 0.000 0.000 0.000
Pr 0.000 0.000 0.500
O 0.669 0.816 0.971
O 0.840 0.185 0.197
O 0.394 0.267 0.484
O 0.909 0.243 0.789
O 0.331 0.184 0.029
O 0.606 0.733 0.516
O 0.160 0.815 0.803
O 0.091 0.757 0.211
La 0.554 0.537 0.246
La 0.446 0.463 0.754
```

The density comes out at 5.9 g/cm³. The value obtained for the volume is 183.2 Å³/cell. As for the crystal system: triclinic. Its magnetization is 1.04 μB/cell. As for the final energy: -7.59 eV/atom.